No. 1
Dy4InAg2Ru PBE-GGA relaxed; density of states at the Fermi level = 4.07 states/eV/cell; electronic total energy = -4.926 eV per atom
1.0
-1.2227 -4.2914 -2.5057
3.4427 -2.2572 -3.0402
3.4391 -6.6906 4.5545
Dy In Ag Ru
4 1 2 1
Cartesian
3.7499 -8.1568 1.6879 Dy
3.2958 -8.3454 -2.9936 Dy
2.3632 -4.8938 2.0023 Dy
1.9091 -5.0824 -2.6792 Dy
0.0000 0.0000 0.0000 In
4.3134 -10.0449 -0.5795 Ag
1.3456 -3.1943 -0.4119 Ag
2.8295 -6.6196 -0.4957 Ru



No. 2
Dy3InAg4S8 PBE-GGA relaxed; ΔE_f (raw) = -1.056 eV per atom
1.0
-6.1653 -5.2382 -0.2277
0.6611 -1.2930 11.8466
-0.0830 6.5573 -4.7716
Dy In Ag S
3 1 4 8
Cartesian
-2.7521 -3.2656 5.8094 Dy
-2.7936 0.0131 3.4237 Dy
0.2891 2.6322 3.5375 Dy
0.3306 -0.6465 5.9233 In
-3.0827 -2.6191 -0.1138 Ag
-3.1241 0.6596 -2.4996 Ag
0.0000 0.0000 0.0000 Ag
-0.0415 3.2787 -2.3858 Ag
-1.3088 -1.8381 7.6730 S
-1.3535 1.3608 5.3449 S
-1.1262 1.2537 1.6508 S
-4.4714 -4.5251 7.5563 S
-1.1157 4.5512 -0.7089 S
-4.4610 -1.2276 5.1966 S
-4.2336 -1.3346 1.5024 S
-4.2783 1.8643 -0.8257 S



No. 3
Dy3InAg3S8 PBE-GGA relaxed; ΔE_f (raw) = -1.063 eV per atom; density of states at the Fermi level = 8.39 states/eV/cell
1.0
-4.8661 6.3161 -0.0572
-1.2551 -5.9540 5.0576
6.2593 4.8277 0.5886
Dy In Ag S
3 1 3 8
Cartesian
0.6966 5.5719 0.2657 Dy
0.0691 2.5950 2.7945 Dy
2.5021 -0.5631 2.8231 Dy
3.1297 2.4139 0.2943 In
0.0000 0.0000 0.0000 Ag
-0.6275 -2.9770 2.5288 Ag
-3.0606 0.1811 2.5002 Ag
-0.1747 -0.1106 2.6529 S
0.3128 5.3005 2.9360 S
-2.6778 2.9942 2.6956 S
2.8159 2.1957 2.8933 S
-3.2715 0.1202 5.1083 S
3.4097 5.0697 0.4806 S
-0.7630 -3.1357 5.1378 S
0.9012 8.3256 0.4511 S



No. 4
Dy3InAg4Se8 PBE-GGA relaxed; ΔE_f (raw) = -0.941 eV per atom; density of states at the Fermi level = 3.05 states/eV/cell
1.0
-1.7110 -8.0911 -0.0178
7.7876 -1.6504 1.6182
-4.3630 5.1385 4.7975
Dy In Ag Se
3 1 4 8
Cartesian
3.0383 -4.8708 0.8002 Dy
0.8568 -2.3015 3.1989 Dy
1.7123 1.7441 3.2079 Dy
3.8938 -0.8252 0.8091 In
-0.8555 -4.0456 -0.0089 Ag
-3.0370 -1.4763 2.3898 Ag
0.0000 0.0000 0.0000 Ag
-2.1815 2.5693 2.3988 Ag
5.3776 -3.2152 1.2129 Se
3.2228 -0.6895 3.6052 Se
-0.6208 0.1250 2.8260 Se
4.5067 -7.3333 1.2038 Se
-2.7932 2.7303 5.1940 Se
2.3344 -4.7280 3.5718 Se
-1.5093 -3.9135 2.7927 Se
-3.6640 -1.3878 5.1850 Se



- What is the formula in the second record?
  Dy3InAg4S8